Compound: MgZr2Si
Source: the Alexandria database
Functional: PBE
Structure: optimized geometry

Lattice parameters (Å, degrees): 7.6795 7.6795 5.7544 90.00 90.00 90.00
With the nearest neighbours (Å) after each atom.
Space group I-42d (No. 122)
Symmetry-distinct sites (fractional):
Mg (0.0000, 0.0000, 0.0000) (multiplicity 4)  2 Si 2.88, 4 Zr 2.95
Zr (0.2234, 0.2500, 0.6250) (multiplicity 8)  2 Si 2.67, 2 Zr 2.91, 2 Mg 2.95
Si (0.0000, 0.0000, 0.5000) (multiplicity 4)  4 Zr 2.67, 2 Mg 2.88

Results
**Calculated density**: 4.596 g/cm3
**ΔE_f (raw)**: 0.009 eV/atom
**Total magnetic moment**: 0.00 μB/f.u.
**Final energy**: -6.0196 eV/atom